1.
Below is AcDyCoRu after structural relaxation, with properties calculated at the PBE level.

Properties
The crystal system is cubic. The final energy comes out at -6.261 eV/atom. The value obtained for the density of states at the Fermi level is 1.076 states/eV per atom. The calculation puts the formation enthalpy at 0 K at 0.01 eV/atom.

abc: 7.054 7.054 7.054
angles: 90.00 90.00 90.00
Space group F-43m (No. 216)
Symmetry-distinct sites (fractional):
Ac: 0.000 0.000 0.000 x4
Dy: 0.000 0.000 0.500 x4
Co: 0.250 0.250 0.750 x4
Ru: 0.250 0.250 0.250 x4

---

2.
Below is AcEr2Co after structural relaxation, with properties calculated at the PBE level.

Properties
The crystal system is trigonal. The final energy comes out at -5.000 eV/atom. The value obtained for the density of states at the Fermi level is 0.684 states/eV per atom. The calculation puts the formation enthalpy at 0 K at 0.08 eV/atom.

abc: 3.7545 3.7545 31.1699
angles: 90.00 90.00 120.00
Space group R-3m (No. 166, hexagonal axes)
Symmetry-distinct sites (fractional):
Ac: 0.0000 0.0000 0.0000 x3
Er: 0.0000 0.0000 0.1195 x6
Co: 0.0000 0.0000 0.5000 x3

---

What is the final energy in the second record?
-5.000 eV/atom